Compound: MnTlRu2
Source: Alexandria via LeMat-Bulk
Functional: GGA-PBE
Structure: optimized geometry

abc: 3.061 3.061 6.683
angles: 90.00 90.00 90.00
Fractional coordinates of all 4 atoms:
Mn 0.000 0.000 0.000
Tl 0.000 0.000 0.500
Ru 0.500 0.500 0.209
Ru 0.500 0.500 0.791

Computed properties:
* final energy: -7.21 eV/atom
* formation enthalpy at 0 K: 0.3083 eV per atom
* magnetization: 2.240 μB/f.u.
* N(E_F): 2.0 states/eV/cell
* space group: P4/mmm (123)